Record 1
Density functional theory data (PBE-GGA) for Zr5Pb after structural relaxation.

Cell and atoms, written as POSCAR:
```
Zr5Pb
1.0
3.056 1.479 -5.045
-6.012 -0.887 -0.237
-0.721 4.639 0.923
Zr Pb
5 1
Cartesian
-2.989 -0.098 -1.839
0.034 0.690 -3.442
1.168 3.059 -2.061
-3.366 1.876 0.343
-1.838 2.615 -2.179
0.000 0.000 0.000
```

- Space-group type: P6/mmm
- M_tot: 0.000 μB/cell
- Calculated total energy: -7.31 eV/atom
- Energy of formation: 433 meV/atom

***

Record 2
Density functional theory data (PBE-GGA) for Th3Ir7Ru2 after structural relaxation.

Cell and atoms, written as POSCAR:
```
Th3Ir7Ru2
1.0
-3.644 -0.558 3.870
-5.113 -0.916 -1.257
-1.383 -9.313 1.046
Th Ir Ru
3 7 2
Cartesian
0.000 0.000 0.000
-8.119 -5.138 2.686
-2.021 -5.648 0.973
-5.070 -5.393 1.829
-5.825 -3.169 3.282
-6.559 -3.348 0.722
-4.005 -2.890 1.350
-4.315 -7.617 0.376
-6.135 -7.896 2.309
-3.581 -7.439 2.937
-7.222 -10.287 2.788
-2.918 -0.500 0.871
```

- Space-group type: R-3m
- M_tot: 0.006 μB/cell
- Calculated total energy: -9.16 eV/atom
- Energy of formation: -592 meV/atom